BeGaHF2: PBEsol geometry, meta-GGA SCAN.

a b c (Å): 4.492 4.492 2.665
angles (deg): 90.00 90.00 90.00
Space group P4/mmm (No. 123)
Symmetry-distinct sites (fractional):
Be 0.000 0.000 0.000 [1 per cell]
Ga 0.500 0.500 0.000 [1 per cell]
H 0.000 0.000 0.500 [1 per cell]
F 0.000 0.500 0.500 [2 per cell]

Summary:
- V: 53.8 Å³ per cell
- E: -35.4 eV per formula unit
- Total magnetization: 0.0 μB/f.u.
- Theoretical density: 3.6 g/cm3